# 1
Compound: Ho4Tl2PS
Source: the Alexandria database
Functional: PBE
Structure: relaxed

Unit cell a=3.8603 b=6.6644 c=8.1987 alpha=105.85 beta=90.00 gamma=90.00
Closest atoms and distances in Å follow each position.
Positions (direct):
Ho1 0.5000 0.7628 0.7971  1 P 2.73, 2 S 2.75
Ho2 0.0000 0.7321 0.2017  2 P 2.73, 1 S 2.74
P1 0.5000 0.5000 0.0000  6 Ho 2.73
Ho3 0.0000 0.2679 0.7983  2 P 2.73, 1 S 2.74
Tl1 0.5000 0.0000 0.5000  6 Ho 3.24-3.25
Tl2 0.0000 0.5000 0.5000  6 Ho 3.22-3.23
S1 0.0000 0.0000 0.0000  6 Ho 2.74-2.75
Ho4 0.5000 0.2372 0.2029  1 P 2.73, 2 S 2.75

Computed properties:
Space group ... P2/m, No. 10
E_form (uncorrected) ... -1.080 eV/atom
Total magnetization ... 0.0 Bohr magnetons per cell

# 2
Compound: SrAc2CeN4
Source: the Alexandria database
Functional: PBE
Structure: relaxed

Unit cell a=3.8361 b=6.5481 c=6.5441 alpha=70.77 beta=90.00 gamma=90.00
Closest atoms and distances in Å follow each position.
Positions (direct):
Ac1 0.0000 0.0000 0.0000  6 N 2.64-2.68
Ce1 0.5000 0.5000 0.0000  2 N 2.32
N1 0.5000 0.7257 0.2092  1 Ce 2.32
N2 0.5000 0.2743 0.7908  1 Ce 2.32
N3 0.0000 0.2482 0.2465  3 Ac 2.64-2.70, 2 Ce 2.69, 1 Sr 2.70
N4 0.0000 0.7518 0.7535  3 Ac 2.64-2.70, 2 Ce 2.69, 1 Sr 2.70
Ac2 0.5000 0.0000 0.5000  6 N 2.70-3.02
Sr1 0.0000 0.5000 0.5000  6 N 2.70-2.76

Computed properties:
Space group ... P2/m, No. 10
E_form (uncorrected) ... -1.048 eV/atom
Total magnetization ... 0.0 Bohr magnetons per cell

# 3
Compound: ZrGa2Br8
Source: the Alexandria database
Functional: PBE
Structure: relaxed

Unit cell a=6.9587 b=8.1930 c=8.1930 alpha=73.03 beta=82.44 gamma=82.44
Closest atoms and distances in Å follow each position.
Positions (direct):
Zr1 0.0000 0.0000 0.0000  6 Br 2.66-2.70
Br1 0.7554 0.6364 0.6364  1 Ga 2.36
Br2 0.2133 0.8992 0.2649  1 Ga 2.58, 1 Zr 2.66
Ga1 0.3655 0.1857 0.1857  4 Br 2.36-2.63
Br3 0.2541 0.8216 0.8216  1 Ga 2.63, 1 Zr 2.70
Br4 0.2133 0.2649 0.8992  1 Ga 2.58, 1 Zr 2.66
Br5 0.7867 0.1008 0.7351  1 Ga 2.58, 1 Zr 2.66
Ga2 0.6345 0.8143 0.8143  4 Br 2.36-2.63
Br6 0.7867 0.7351 0.1008  1 Ga 2.58, 1 Zr 2.66
Br7 0.7459 0.1784 0.1784  1 Ga 2.63, 1 Zr 2.70
Br8 0.2446 0.3636 0.3636  1 Ga 2.36

Computed properties:
Space group ... C2/m, No. 12
E_form (uncorrected) ... -0.911 eV/atom
Total magnetization ... 0.0 Bohr magnetons per cell

# 4
Compound: Y4Er5Th
Source: the Alexandria database
Functional: PBE
Structure: relaxed

Unit cell a=6.3657 b=7.8400 c=7.8400 alpha=80.51 beta=66.05 gamma=66.05
Closest atoms and distances in Å follow each position.
Positions (direct):
Y1 0.1067 0.2948 0.3899  4 Er 3.22-3.52, 1 Y 3.34
Er1 0.0934 0.6267 0.0870  1 Er 3.21, 4 Y 3.22-3.52, 1 Th 3.25
Y2 0.4966 0.6101 0.2948  4 Er 3.22-3.52, 1 Y 3.34
Er2 0.1804 0.9130 0.6267  1 Er 3.21, 4 Y 3.22-3.52, 1 Th 3.25
Y3 0.4014 0.3899 0.7052  4 Er 3.22-3.52, 1 Y 3.34
Y4 0.7913 0.7052 0.6101  4 Er 3.22-3.52, 1 Y 3.34
Er3 0.8071 0.3733 0.9130  1 Er 3.21, 4 Y 3.22-3.52, 1 Th 3.25
Th1 0.2242 0.0000 0.0000  5 Er 2.96-3.25
Er4 0.6892 0.0000 0.0000  1 Th 2.96, 4 Er 3.21
Er5 0.7201 0.0870 0.3733  1 Er 3.21, 4 Y 3.22-3.52, 1 Th 3.25

Computed properties:
Excess energy over the best structure of this formula in the dataset ... 0.142 eV/atom
ΔH_f (0 K) ... 325.3 meV per atom
Space group ... I4, No. 79
Total magnetization ... 0.0 Bohr magnetons per cell

Question: Which value of total magnetization does entry 2 give?
Answer: 0.0 Bohr magnetons per cell

Question: Which value of total magnetization does entry 1 give?
Answer: 0.0 Bohr magnetons per cell